# NaSr2Ge3Pd4 | Alexandria via LeMat-Bulk | PBE-GGA | optimized geometry
# Formation enthalpy at 0 K ... -0.618 eV per atom
# Raw total energy ... -0.1672 Ha/atom
data_NaSr2Ge3Pd4
_chemical_formula_sum 'Na1 Sr2 Ge3 Pd4'
_symmetry_space_group_name_H-M 'P -4 m 2'
_symmetry_Int_Tables_number 115
_cell_length_a 4.462
_cell_length_b 4.462
_cell_length_c 10.501
_cell_angle_alpha 90.00
_cell_angle_beta 90.00
_cell_angle_gamma 90.00
loop_
_symmetry_equiv_pos_as_xyz
'x,y,z'
'y,-x,-z'
'-x,-y,z'
'-y,x,-z'
'-x,y,z'
'-y,-x,-z'
'x,-y,z'
'y,x,-z'
loop_
_atom_site_label
_atom_site_fract_x
_atom_site_fract_y
_atom_site_fract_z
Na1 0.000 0.000 0.000
Sr1 0.000 0.500 0.745
Ge1 0.000 0.500 0.382
Ge2 0.500 0.500 0.000
Pd1 0.000 0.000 0.500
Pd2 0.000 0.500 0.145
Pd3 0.500 0.500 0.500